# Pm6Dy3Y2 PBE optimized geometry
# - energy of formation (eV/atom) = 0.292
# - crystal system = tetragonal
# - calculated total energy (eV for the cell shown) = -104.1
# - distance to the lowest polymorph of the same formula (meV/atom) = 279.1
data_Pm6Dy3Y2
_cell_length_a 4.767
_cell_length_b 4.767
_cell_length_c 33.877
_cell_angle_alpha 90.00
_cell_angle_beta 90.00
_cell_angle_gamma 90.00
_symmetry_space_group_name_H-M 'I 4/m m m'
_symmetry_Int_Tables_number 139
_symmetry_space_group_name_Hall '-I 4 2'
loop_
_atom_site_label
_atom_site_type_symbol
_atom_site_fract_x
_atom_site_fract_y
_atom_site_fract_z
_atom_site_occupancy
Pm1 Pm 0.000 0.000 0.201 1
Pm2 Pm 0.000 0.500 0.121 1
Dy1 Dy 0.000 0.000 0.303 1
Dy2 Dy 0.000 0.000 0.500 1
Y1 Y 0.000 0.000 0.046 1